VASP calculation (PBE-GGA) on an optimized crystal structure of LiYMn.

Properties
- Magnetic moment: 3.1 μB per formula unit
- E_form: 0.90 eV per atom
- Space-group type: No. 216
- Energy relative to the lowest polymorph listed for this composition: 0.6504 eV/atom
- Electronic total energy: -4.9446 eV per atom

abc: 4.7608 4.7608 4.7608
angles: 60.00 60.00 60.00
With the nearest neighbours (Å) after each atom.
Fractional coordinates of all 3 atoms:
Li 0.0000 0.0000 0.0000  4 Y 2.92
Y 0.7500 0.7500 0.7500  4 Mn 2.92, 4 Li 2.92
Mn 0.5000 0.5000 0.5000  4 Y 2.92

VASP calculation (PBE-GGA) on an optimized crystal structure of LiYMn.

Properties
- Magnetic moment: 3.0 μB per formula unit
- E_form: 0.31 eV per atom
- Space-group type: No. 187
- Energy relative to the lowest polymorph listed for this composition: 0.0510 eV/atom
- Electronic total energy: -5.5439 eV per atom

abc: 4.6454 4.6454 3.3785
angles: 90.00 90.00 120.00
With the nearest neighbours (Å) after each atom.
Fractional coordinates of all 3 atoms:
Li 0.0000 0.0000 0.0000  3 Mn 2.68
Y 0.3333 0.6667 0.5000  6 Li 3.17, 6 Mn 3.17, 2 Y 3.38
Mn 0.6667 0.3333 0.0000  3 Li 2.68

VASP calculation (PBE-GGA) on an optimized crystal structure of LiYMn.

Properties
- Magnetic moment: 3.3 μB per formula unit
- E_form: 0.64 eV per atom
- Space-group type: No. 216
- Energy relative to the lowest polymorph listed for this composition: 0.3816 eV/atom
- Electronic total energy: -5.2133 eV per atom

abc: 4.6966 4.6966 4.6966
angles: 60.00 60.00 60.00
With the nearest neighbours (Å) after each atom.
Fractional coordinates of all 3 atoms:
Li 0.0000 0.0000 0.0000  4 Mn 2.88
Y 0.5000 0.5000 0.5000  4 Mn 2.88
Mn 0.2500 0.2500 0.2500  4 Li 2.88, 4 Y 2.88

VASP calculation (PBE-GGA) on an optimized crystal structure of Li4YMn.

Properties
- Magnetic moment: 4.4 μB per formula unit
- E_form: 0.23 eV per atom
- Space-group type: No. 216
- Electronic total energy: -3.6554 eV per atom

abc: 5.4698 5.4698 5.4698
angles: 60.00 60.00 60.00
With the nearest neighbours (Å) after each atom.
Fractional coordinates of all 6 atoms:
Li 0.1225 0.1225 0.1225  6 Li 2.68-2.79
Li 0.1225 0.1225 0.6324  6 Li 2.68-2.79
Li 0.1225 0.6324 0.1225  6 Li 2.68-2.79
Li 0.6324 0.1225 0.1225  6 Li 2.68-2.79
Y 0.5000 0.5000 0.5000  12 Li 3.21, 4 Mn 3.35
Mn 0.7500 0.7500 0.7500  12 Li 3.20, 4 Y 3.35

VASP calculation (PBE-GGA) on an optimized crystal structure of LiY3Mn.

Properties
- Magnetic moment: 1.2 μB per formula unit
- E_form: 0.26 eV per atom
- Space-group type: No. 221
- Energy relative to the lowest polymorph listed for this composition: 0.0000 eV/atom
- Electronic total energy: -5.8311 eV per atom

abc: 5.2890 5.2890 5.2890
angles: 90.00 90.00 90.00
With the nearest neighbours (Å) after each atom.
Fractional coordinates of all 5 atoms:
Li 0.0000 0.0000 0.0000  12 Y 3.74
Y 0.0000 0.5000 0.5000  2 Mn 2.64
Y 0.5000 0.0000 0.5000  2 Mn 2.64
Y 0.5000 0.5000 0.0000  2 Mn 2.64
Mn 0.5000 0.5000 0.5000  6 Y 2.64

VASP calculation (PBE-GGA) on an optimized crystal structure of LiYMn4.

Properties
- Magnetic moment: 0.0 μB per formula unit
- E_form: 0.31 eV per atom
- Space-group type: No. 216
- Electronic total energy: -7.2021 eV per atom

abc: 4.9266 4.9266 4.9266
angles: 60.00 60.00 60.00
With the nearest neighbours (Å) after each atom.
Fractional coordinates of all 6 atoms:
Li 0.0000 0.0000 0.0000  12 Mn 2.89, 4 Y 3.02
Y 0.2500 0.2500 0.2500  12 Mn 2.89, 4 Li 3.02
Mn 0.1213 0.6262 0.6262  6 Mn 2.44-2.49
Mn 0.6262 0.1213 0.6262  6 Mn 2.44-2.49
Mn 0.6262 0.6262 0.1213  6 Mn 2.44-2.49
Mn 0.6262 0.6262 0.6262  6 Mn 2.44-2.49

VASP calculation (PBE-GGA) on an optimized crystal structure of Li2YMn2.

Properties
- Magnetic moment: 0.0 μB per formula unit
- E_form: 0.60 eV per atom
- Space-group type: No. 127
- Energy relative to the lowest polymorph listed for this composition: 0.0000 eV/atom
- Electronic total energy: -5.1238 eV per atom

abc: 7.6587 7.6587 2.6284
angles: 90.00 90.00 90.00
With the nearest neighbours (Å) after each atom.
Fractional coordinates of all 10 atoms:
Li 0.1897 0.3103 0.0000  2 Li 2.63, 6 Mn 2.64-2.70, 2 Y 2.79
Li 0.3103 0.8103 0.0000  2 Li 2.63, 6 Mn 2.64-2.70, 2 Y 2.79
Li 0.6897 0.1897 0.0000  2 Li 2.63, 6 Mn 2.64-2.70, 2 Y 2.79
Li 0.8103 0.6897 0.0000  2 Li 2.63, 6 Mn 2.64-2.70, 2 Y 2.79
Y 0.0000 0.0000 0.0000  2 Y 2.63, 4 Li 2.79
Y 0.5000 0.5000 0.0000  2 Y 2.63, 4 Li 2.79
Mn 0.0923 0.5923 0.5000  1 Mn 2.00
Mn 0.4077 0.0923 0.5000  1 Mn 2.00
Mn 0.5923 0.9077 0.5000  1 Mn 2.00
Mn 0.9077 0.4077 0.5000  1 Mn 2.00

VASP calculation (PBE-GGA) on an optimized crystal structure of LiYMn.

Properties
- Magnetic moment: 3.6 μB per formula unit
- E_form: 0.43 eV per atom
- Space-group type: No. 156
- Energy relative to the lowest polymorph listed for this composition: 0.1773 eV/atom
- Electronic total energy: -5.4177 eV per atom

abc: 3.2604 3.2604 7.3664
angles: 90.00 90.00 120.00
With the nearest neighbours (Å) after each atom.
Fractional coordinates of all 3 atoms:
Li 0.0000 0.0000 0.0000  3 Mn 2.89
Y 0.6667 0.3333 0.6136  3 Mn 2.99, 6 Y 3.26
Mn 0.3333 0.6667 0.2977  3 Li 2.89, 3 Y 2.99